Entry 1:
Hf2IrCl2 | GGA-PBE | optimized geometry

Cell lengths 7.5774, 7.5774, 3.0863 Å; angles 90.00, 90.00, 90.00 degrees
Fractional positions:
Hf 0.1780 0.3220 0.0000
Hf 0.3220 0.8220 0.0000
Hf 0.6780 0.1780 0.0000
Hf 0.8220 0.6780 0.0000
Ir 0.0000 0.0000 0.0000
Ir 0.5000 0.5000 0.0000
Cl 0.1254 0.6254 0.5000
Cl 0.3746 0.1254 0.5000
Cl 0.6254 0.8746 0.5000
Cl 0.8746 0.3746 0.5000

Values from the calculation:
The distance to the lowest polymorph of the same formula comes out at 0.254 eV/atom. The calculation puts the density of states at the Fermi level at 6.07 states/eV per cell. As for the formation energy without anion corrections: -0.1733 eV/atom. The calculation puts the final energy at -6.6655 eV per atom. As for the space-group type: P4/mbm.

=====

Entry 2:
HfIrCl3 | GGA-PBE | optimized geometry

Cell lengths 4.8010, 4.8010, 4.8010 Å; angles 90.00, 90.00, 90.00 degrees
Fractional positions:
Hf 0.0000 0.0000 0.0000
Ir 0.5000 0.5000 0.5000
Cl 0.0000 0.5000 0.5000
Cl 0.5000 0.0000 0.5000
Cl 0.5000 0.5000 0.0000

Values from the calculation:
The distance to the lowest polymorph of the same formula comes out at 0.380 eV/atom. The calculation puts the density of states at the Fermi level at 6.89 states/eV per cell. As for the formation energy without anion corrections: 0.5764 eV/atom. The calculation puts the final energy at -4.2945 eV per atom. As for the space-group type: Pm-3m.

=====

Entry 3:
HfP2IrCl | GGA-PBE | optimized geometry

Cell lengths 5.0100, 5.0100, 4.6852 Å; angles 90.00, 90.00, 90.00 degrees
Fractional positions:
Hf 0.0000 0.0000 0.0000
P 0.0000 0.5000 0.0000
P 0.5000 0.0000 0.0000
Ir 0.5000 0.5000 0.5000
Cl 0.0000 0.0000 0.5000

Values from the calculation:
The distance to the lowest polymorph of the same formula comes out at 0.321 eV/atom. The calculation puts the density of states at the Fermi level at 8.15 states/eV per cell. As for the formation energy without anion corrections: 0.8153 eV/atom. The calculation puts the final energy at -5.4809 eV per atom. As for the space-group type: P4/mmm.

=====

Entry 4:
HfP2IrCl | GGA-PBE | optimized geometry

Cell lengths 4.6357, 4.6357, 4.6521 Å; angles 90.00, 90.00, 90.00 degrees
Fractional positions:
Hf 0.0000 0.0000 0.0000
P 0.0000 0.5000 0.5000
P 0.5000 0.0000 0.5000
Ir 0.5000 0.5000 0.5000
Cl 0.5000 0.5000 0.0000

Values from the calculation:
The distance to the lowest polymorph of the same formula comes out at 0.000 eV/atom. The calculation puts the density of states at the Fermi level at 4.65 states/eV per cell. As for the formation energy without anion corrections: 0.4944 eV/atom. The calculation puts the final energy at -5.8017 eV per atom. As for the space-group type: P4/mmm.

=====

Entry 5:
Hf2IrPdCl | GGA-PBE | optimized geometry

Cell lengths 5.0147, 5.0147, 4.7664 Å; angles 90.00, 90.00, 90.00 degrees
Fractional positions:
Hf 0.0000 0.5000 0.0000
Hf 0.5000 0.0000 0.0000
Ir 0.0000 0.0000 0.0000
Pd 0.5000 0.5000 0.5000
Cl 0.0000 0.0000 0.5000

Values from the calculation:
The calculation puts the density of states at the Fermi level at 4.94 states/eV per cell. As for the formation energy without anion corrections: 0.5058 eV/atom. The calculation puts the final energy at -6.6557 eV per atom. As for the space-group type: P4/mmm.

=====

Entry 6:
HfIr2PdCl | GGA-PBE | optimized geometry

Cell lengths 4.8040, 4.8040, 4.9736 Å; angles 90.00, 90.00, 90.00 degrees
Fractional positions:
Hf 0.0000 0.0000 0.0000
Ir 0.0000 0.5000 0.5000
Ir 0.5000 0.0000 0.5000
Pd 0.0000 0.0000 0.5000
Cl 0.5000 0.5000 0.0000

Values from the calculation:
The calculation puts the density of states at the Fermi level at 6.02 states/eV per cell. As for the formation energy without anion corrections: 1.3797 eV/atom. The calculation puts the final energy at -5.5633 eV per atom. As for the space-group type: P4/mmm.

=====

Entry 7:
Hf2IrPtCl | GGA-PBE | optimized geometry

Cell lengths 5.0717, 5.0717, 4.5758 Å; angles 90.00, 90.00, 90.00 degrees
Fractional positions:
Hf 0.0000 0.5000 0.0000
Hf 0.5000 0.0000 0.0000
Ir 0.0000 0.0000 0.5000
Pt 0.5000 0.5000 0.0000
Cl 0.5000 0.5000 0.5000

Values from the calculation:
The distance to the lowest polymorph of the same formula comes out at 0.594 eV/atom. The calculation puts the density of states at the Fermi level at 4.84 states/eV per cell. As for the formation energy without anion corrections: 0.7873 eV/atom. The calculation puts the final energy at -6.5438 eV per atom. As for the space-group type: P4/mmm.

=====

Entry 8:
Hf2IrPtCl | GGA-PBE | optimized geometry

Cell lengths 4.6255, 4.6255, 4.3757 Å; angles 90.00, 90.00, 90.00 degrees
Fractional positions:
Hf 0.0000 0.5000 0.0000
Hf 0.5000 0.0000 0.0000
Ir 0.0000 0.0000 0.5000
Pt 0.5000 0.5000 0.5000
Cl 0.0000 0.0000 0.0000

Values from the calculation:
The distance to the lowest polymorph of the same formula comes out at 0.000 eV/atom. The calculation puts the density of states at the Fermi level at 3.41 states/eV per cell. As for the formation energy without anion corrections: 0.1933 eV/atom. The calculation puts the final energy at -7.1377 eV per atom. As for the space-group type: P4/mmm.

=====

Which of these has the highest final energy? HfIrCl3

=====

Please write out number 6 again, unchanged.
HfIr2PdCl | GGA-PBE | optimized geometry

Cell lengths 4.8040, 4.8040, 4.9736 Å; angles 90.00, 90.00, 90.00 degrees
Fractional positions:
Hf 0.0000 0.0000 0.0000
Ir 0.0000 0.5000 0.5000
Ir 0.5000 0.0000 0.5000
Pd 0.0000 0.0000 0.5000
Cl 0.5000 0.5000 0.0000

Values from the calculation:
The calculation puts the density of states at the Fermi level at 6.02 states/eV per cell. As for the formation energy without anion corrections: 1.3797 eV/atom. The calculation puts the final energy at -5.5633 eV per atom. As for the space-group type: P4/mmm.

=====

Which value of formation energy without anion corrections does entry 8 give? 0.1933 eV/atom